# 1
Material: Zr2TiAl
Method: DFT, GGA-PBE
State: relaxed

Structure (POSCAR):
```
Zr2TiAl
1.0
-3.8291 3.8291 2.8197
3.8291 -3.8291 2.8197
3.8291 3.8291 -2.8197
Zr Ti Al
4 2 2
direct
0.1184 0.6250 0.9934
0.3750 0.3684 0.4934
0.6316 0.1250 0.0066
0.8750 0.8816 0.5066
0.2500 0.7500 0.5000
0.5000 0.5000 0.0000
0.0000 0.0000 0.0000
0.7500 0.2500 0.5000
```

The energy relative to the elements comes out at 0.238 eV/atom. The density of states at the Fermi level comes out at 0.955 states/eV/atom. As for the space group: I-42d, No. 122.

***

# 2
Material: KIn2Ga
Method: DFT, GGA-PBE
State: relaxed

Structure (POSCAR):
```
KIn2Ga
1.0
2.2813 1.3171 7.3488
-2.2813 1.3171 7.3488
0.0000 -2.6342 7.3488
K In Ga
1 2 1
direct
0.0000 0.0000 0.0000
0.2179 0.2179 0.2179
0.7821 0.7821 0.7821
0.5000 0.5000 0.5000
```

The energy relative to the elements comes out at -0.065 eV/atom. The density of states at the Fermi level comes out at 0.309 states/eV/atom. As for the space group: R-3m, No. 166.

***

# 3
Material: In2OF
Method: DFT, GGA-PBE
State: relaxed

Structure (POSCAR):
```
In2OF
1.0
-2.8139 2.8139 5.2951
2.8139 -2.8139 5.2951
2.8139 2.8139 -5.2951
In O F
4 2 2
direct
0.0987 0.6250 0.9737
0.3750 0.3487 0.4737
0.6513 0.1250 0.0263
0.8750 0.9013 0.5263
0.0000 0.0000 0.0000
0.7500 0.2500 0.5000
0.2500 0.7500 0.5000
0.5000 0.5000 0.0000
```

The calculation puts the energy above the lowest structure with this stoichiometry at 0.000 eV/atom. The value obtained for the formation energy (no corrections) is -1.12 eV per atom. The density of states at the Fermi level comes out at 0.446 states/eV/atom. As for the space group: I-42d, No. 122.

***

Repeat the third record exactly.
Material: In2OF
Method: DFT, GGA-PBE
State: relaxed

Structure (POSCAR):
```
In2OF
1.0
-2.8139 2.8139 5.2951
2.8139 -2.8139 5.2951
2.8139 2.8139 -5.2951
In O F
4 2 2
direct
0.0987 0.6250 0.9737
0.3750 0.3487 0.4737
0.6513 0.1250 0.0263
0.8750 0.9013 0.5263
0.0000 0.0000 0.0000
0.7500 0.2500 0.5000
0.2500 0.7500 0.5000
0.5000 0.5000 0.0000
```

The calculation puts the energy above the lowest structure with this stoichiometry at 0.000 eV/atom. The value obtained for the formation energy (no corrections) is -1.12 eV per atom. The density of states at the Fermi level comes out at 0.446 states/eV/atom. As for the space group: I-42d, No. 122.